A geometry-optimized Tl2SeF structure. Source: Alexandria, functional GGA-PBE.

Lattice parameters (Å, degrees): 6.3370 6.3370 7.9664 66.56 66.56 90.00
Positions (direct):
Se 0.0000 0.0000 0.0000
Se 0.7500 0.2500 0.5000
F 0.2500 0.7500 0.5000
F 0.5000 0.5000 0.0000
Tl 0.1738 0.6250 0.2500
Tl 0.3750 0.4238 0.7500
Tl 0.8750 0.8262 0.7500
Tl 0.5762 0.1250 0.2500

Its space group is I-42d (122). The total DFT energy (no corrections) is -26.7 eV/cell. The magnetic moment comes out at 0.0 μB per formula unit. Its energy relative to the elements, uncorrected is -819 meV per atom. For the relative energy among the computed polymorphs, the calculation gives 0.165 eV per atom.